This record from Alexandria via LeMat-Bulk describes a relaxed structure of FeTcO3. The functional is PBE+U.

Cell lengths 3.8431, 3.8431, 3.8431 Å; angles 90.00, 90.00, 90.00 degrees
Space group Pm-3m (No. 221)
One atom of each set of equivalent atoms:
Fe1 0.0000 0.0000 0.0000
Tc1 0.5000 0.5000 0.5000
O1 0.0000 0.5000 0.5000

Output
total energy = -6.976 eV/atom
calculated volume = 56.76 Å³/cell
total moment = 3.07 μB/cell